## SrRhCl2 (GGA-PBE)

Data for SrRhCl2 after structural relaxation.

Values from the calculation:
E above lowest polymorph (meV per atom): 12
Formation energy from raw total energies (eV/atom): -1.01

a = 9.642 Å, b = 4.166 Å, c = 5.220 Å
α = 90.00°, β = 93.11°, γ = 90.00°
Space group C2/m (No. 12)
Unique sites:
1 Sr 0.000 0.000 0.000 x2
2 Rh 0.000 0.500 0.500 x2
3 Cl 0.184 0.500 0.234 x4

***

## SrPa2HgO8 (GGA-PBE)

Data for SrPa2HgO8 after structural relaxation.

Values from the calculation:
Formation energy from raw total energies (eV/atom): -2.20

a = 6.0054 Å, b = 6.0054 Å, c = 6.4261 Å
α = 90.00°, β = 90.00°, γ = 120.00°
Space group P-3 (No. 147)
Unique sites:
1 Sr 0.0000 0.0000 0.0000 x1
2 Pa 0.3333 0.6667 0.3992 x2
3 Hg 0.0000 0.0000 0.5000 x1
4 O 0.0585 0.3606 0.6541 x6
5 O 0.3333 0.6667 0.0998 x2

***

## Pm5HoTl6 (GGA-PBE)

Data for Pm5HoTl6 after structural relaxation.

Values from the calculation:
Energy of formation (meV/atom): -377

a = 5.487 Å, b = 16.480 Å, c = 7.657 Å
α = 90.00°, β = 90.00°, γ = 90.00°
Space group Cmmm (No. 65)
Unique sites:
1 Pm 0.000 0.000 0.000 x2
2 Pm 0.000 0.331 0.000 x4
3 Pm 0.000 0.334 0.500 x4
4 Ho 0.000 0.000 0.500 x2
5 Tl 0.000 0.164 0.254 x8
6 Tl 0.000 0.500 0.253 x4

***

## EuYCdRh (GGA-PBE)

Data for EuYCdRh after structural relaxation.

Values from the calculation:
Energy of formation (meV/atom): -385

a = 7.274 Å, b = 7.274 Å, c = 7.274 Å
α = 90.00°, β = 90.00°, γ = 90.00°
Space group F-43m (No. 216)
Unique sites:
1 Eu 0.000 0.000 0.000 x4
2 Y 0.000 0.000 0.500 x4
3 Cd 0.250 0.250 0.250 x4
4 Rh 0.250 0.250 0.750 x4

***

## CuAs4Se (GGA-PBE)

Data for CuAs4Se after structural relaxation.

Values from the calculation:
Formation energy from raw total energies (eV/atom): 0.62

a = 7.826 Å, b = 7.826 Å, c = 7.826 Å
α = 90.00°, β = 90.00°, γ = 90.00°
Space group F-43m (No. 216)
Unique sites:
1 Cu 0.000 0.000 0.000 x4
2 As 0.128 0.128 0.372 x16
3 Se 0.250 0.250 0.750 x4

***

## Ba2ErScO5 (GGA-PBE)

Data for Ba2ErScO5 after structural relaxation.

Values from the calculation:
Formation energy from raw total energies (eV/atom): -3.09

a = 3.616 Å, b = 14.036 Å, c = 12.153 Å
α = 90.00°, β = 90.00°, γ = 90.00°
Space group Cmc2_1 (No. 36)
Unique sites:
1 Ba 0.000 0.092 0.000 x4
2 Ba 0.000 0.152 0.632 x4
3 Er 0.000 0.215 0.351 x4
4 Sc 0.000 0.472 0.775 x4
5 O 0.000 0.052 0.350 x4
6 O 0.000 0.276 0.974 x4
7 O 0.000 0.318 0.740 x4
8 O 0.000 0.374 0.322 x4
9 O 0.000 0.492 0.118 x4

***

## Pr6GaRh2 (GGA-PBE)

Data for Pr6GaRh2 after structural relaxation.

Values from the calculation:
Energy of formation (meV/atom): -459

a = 9.624 Å, b = 10.018 Å, c = 10.693 Å
α = 90.00°, β = 90.00°, γ = 90.00°
Space group Immm (No. 71)
Unique sites:
1 Pr 0.000 0.193 0.237 x8
2 Pr 0.193 0.500 0.168 x8
3 Pr 0.213 0.323 0.500 x8
4 Ga 0.000 0.000 0.000 x2
5 Ga 0.000 0.000 0.500 x2
6 Rh 0.000 0.331 0.000 x4
7 Rh 0.000 0.500 0.367 x4

***

## Sm2PaFe2 (GGA-PBE)

Data for Sm2PaFe2 after structural relaxation.

Values from the calculation:
Energy of formation (meV/atom): -106

a = 10.202 Å, b = 6.280 Å, c = 6.869 Å
α = 90.00°, β = 96.44°, γ = 90.00°
Space group C2/c (No. 15)
Unique sites:
1 Sm 0.150 0.110 0.144 x8
2 Pa 0.000 0.421 0.750 x4
3 Fe 0.151 0.346 0.525 x8

***

## EuHoPt2 (GGA-PBE)

Data for EuHoPt2 after structural relaxation.

Values from the calculation:
Energy of formation (meV/atom): -1048
E above lowest polymorph (meV per atom): 60

a = 7.049 Å, b = 7.049 Å, c = 7.049 Å
α = 90.00°, β = 90.00°, γ = 90.00°
Space group Fm-3m (No. 225)
Unique sites:
1 Eu 0.000 0.000 0.000 x4
2 Ho 0.000 0.000 0.500 x4
3 Pt 0.250 0.250 0.250 x8

***

## ScClF2 (GGA-PBE)

Data for ScClF2 after structural relaxation.

Values from the calculation:
E above lowest polymorph (meV per atom): 844
Formation energy from raw total energies (eV/atom): -2.33

a = 5.891 Å, b = 5.891 Å, c = 5.891 Å
α = 90.00°, β = 90.00°, γ = 90.00°
Space group Fm-3m (No. 225)
Unique sites:
1 Sc 0.000 0.000 0.000 x4
2 Cl 0.000 0.000 0.500 x4
3 F 0.250 0.250 0.250 x8

***

## ScTc2W2 (GGA-PBE)

Data for ScTc2W2 after structural relaxation.

Values from the calculation:
Energy of formation (meV/atom): -141

a = 3.145 Å, b = 4.495 Å, c = 11.470 Å
α = 90.00°, β = 97.93°, γ = 90.00°
Space group P2_1/m (No. 11)
Unique sites:
1 Sc 0.147 0.250 0.294 x2
2 Tc 0.352 0.250 0.704 x2
3 Tc 0.455 0.750 0.909 x2
4 W 0.049 0.750 0.100 x2
5 W 0.244 0.750 0.489 x2

***

## KScBe3 (GGA-PBE)

Data for KScBe3 after structural relaxation.

Values from the calculation:
Energy of formation (meV/atom): 1965
E above lowest polymorph (meV per atom): 566

a = 4.699 Å, b = 4.699 Å, c = 4.699 Å
α = 90.00°, β = 90.00°, γ = 90.00°
Space group Pm-3m (No. 221)
Unique sites:
1 K 0.000 0.000 0.000 x1
2 Sc 0.500 0.500 0.500 x1
3 Be 0.000 0.000 0.500 x3

***

Number 1: size of the total moment 0.252 μB per atom. Number 2: size of the total moment 0.173 μB per atom. Number 3: size of the total moment 0.000 μB per atom. Number 4: size of the total moment 1.731 μB per atom. Number 5: size of the total moment 0.000 μB per atom. Number 6: size of the total moment 0.000 μB per atom. Number 7: size of the total moment 0.000 μB per atom. Number 8: size of the total moment 0.000 μB per atom. Number 9: size of the total moment 1.757 μB per atom. Number 10: size of the total moment 0.000 μB per atom. Number 11: size of the total moment 0.000 μB per atom. Number 12: size of the total moment 0.000 μB per atom.